Entry 1:
A plane-wave DFT calculation with PBE was carried out for La5Te5S2 after structural relaxation.

It has space group C2/m (No. 12), with a = 14.747 Å, b = 4.412 Å, c = 12.931 Å, α = 90.00°, β = 106.68° and γ = 90.00°. Symmetry generates all atoms from La at (0.000, 0.000, 0.000), La at (0.106, 0.000, 0.400), La at (0.175, 0.500, 0.800), Te at (0.000, 0.500, 0.500), Te at (0.165, 0.500, 0.055), Te at (0.249, 0.500, 0.354) and S at (0.043, 0.000, 0.795).

Its density of states at the Fermi level is 4.48 states/eV per cell. The total energy is -139.5 eV/cell. The calculation puts the energy relative to the elements, uncorrected at -1762 meV per atom.


Entry 2:
A plane-wave DFT calculation with PBE was carried out for KAg2BrF2 after structural relaxation.

It has space group P2_1/m (No. 11), with a = 4.925 Å, b = 6.588 Å, c = 9.321 Å, α = 90.00°, β = 99.23° and γ = 90.00°. Symmetry generates all atoms from K at (0.179, 0.250, 0.401), Ag at (0.329, 0.024, 0.857), Br at (0.182, 0.750, 0.053), F at (0.176, 0.250, 0.668) and F at (0.353, 0.750, 0.692).

The total energy is -39.9 eV/cell. The calculation puts the energy relative to the elements, uncorrected at -1286 meV per atom.


Entry 3:
A plane-wave DFT calculation with PBE was carried out for Tl2AgCl6 after structural relaxation.

It has space group P-31m (No. 162), with a = 6.8781 Å, b = 6.8781 Å, c = 6.1137 Å, α = 90.00°, β = 90.00° and γ = 120.00°. Symmetry generates all atoms from Tl at (0.3333, 0.6667, 0.0000), Ag at (0.0000, 0.0000, 0.5000) and Cl at (0.0000, 0.3298, 0.7486).

The value obtained for the relative energy among the computed polymorphs is 0.00 eV per formula unit. Its density of states at the Fermi level is 4.02 states/eV per cell. The total energy is -24.0 eV/cell. The calculation puts the energy relative to the elements, uncorrected at -594 meV per atom.


Entry 4:
A plane-wave DFT calculation with PBE was carried out for Sm4GePbN after structural relaxation.

It has space group Cmcm (No. 63), with a = 6.787 Å, b = 16.055 Å, c = 6.796 Å, α = 90.00°, β = 90.00° and γ = 90.00°. Symmetry generates all atoms from Sm at (0.000, 0.081, 0.250), Sm at (0.000, 0.409, 0.250), Sm at (0.250, 0.250, 0.000), Ge at (0.000, 0.114, 0.750), Pb at (0.000, 0.395, 0.750) and N at (0.000, 0.248, 0.250).

Its density of states at the Fermi level is 16.62 states/eV per cell. The total energy is -165.5 eV/cell. The calculation puts the energy relative to the elements, uncorrected at -834 meV per atom.


Entry 5:
A plane-wave DFT calculation with PBE was carried out for AcSi4Ru after structural relaxation.

It has space group C2/c (No. 15), with a = 11.588 Å, b = 6.171 Å, c = 6.692 Å, α = 90.00°, β = 102.64° and γ = 90.00°. Symmetry generates all atoms from Ac at (0.000, 0.092, 0.250), Si at (0.061, 0.405, 0.912), Si at (0.223, 0.367, 0.628) and Ru at (0.250, 0.250, 0.000).

Its density of states at the Fermi level is 11.94 states/eV per cell. The total energy is -146.5 eV/cell. The calculation puts the energy relative to the elements, uncorrected at -258 meV per atom.


Entry 6:
A plane-wave DFT calculation with PBE was carried out for PmPd6Au2 after structural relaxation.

It has space group Immm (No. 71), with a = 4.642 Å, b = 5.579 Å, c = 13.065 Å, α = 90.00°, β = 90.00° and γ = 90.00°. Symmetry generates all atoms from Pm at (0.000, 0.000, 0.000), Pd at (0.000, 0.232, 0.500), Pd at (0.000, 0.245, 0.299) and Au at (0.000, 0.500, 0.113).

As for the energy relative to the elements: -0.17 eV per atom. The value obtained for the relative energy among the computed polymorphs is 2.01 eV per formula unit. Its density of states at the Fermi level is 12.63 states/eV per cell. The total energy is -88.0 eV/cell.


Copy entry 1 word for word.
A plane-wave DFT calculation with PBE was carried out for La5Te5S2 after structural relaxation.

It has space group C2/m (No. 12), with a = 14.747 Å, b = 4.412 Å, c = 12.931 Å, α = 90.00°, β = 106.68° and γ = 90.00°. Symmetry generates all atoms from La at (0.000, 0.000, 0.000), La at (0.106, 0.000, 0.400), La at (0.175, 0.500, 0.800), Te at (0.000, 0.500, 0.500), Te at (0.165, 0.500, 0.055), Te at (0.249, 0.500, 0.354) and S at (0.043, 0.000, 0.795).

Its density of states at the Fermi level is 4.48 states/eV per cell. The total energy is -139.5 eV/cell. The calculation puts the energy relative to the elements, uncorrected at -1762 meV per atom.


Repeat the fifth record exactly.
A plane-wave DFT calculation with PBE was carried out for AcSi4Ru after structural relaxation.

It has space group C2/c (No. 15), with a = 11.588 Å, b = 6.171 Å, c = 6.692 Å, α = 90.00°, β = 102.64° and γ = 90.00°. Symmetry generates all atoms from Ac at (0.000, 0.092, 0.250), Si at (0.061, 0.405, 0.912), Si at (0.223, 0.367, 0.628) and Ru at (0.250, 0.250, 0.000).

Its density of states at the Fermi level is 11.94 states/eV per cell. The total energy is -146.5 eV/cell. The calculation puts the energy relative to the elements, uncorrected at -258 meV per atom.